Density functional theory data (PBE) for PrZr2Mo after structural relaxation.

Lattice parameters (Å, degrees): 10.716 10.716 10.716 17.59 17.59 17.59
Atoms (fractional coordinates):
Pr 0.000 0.000 0.000
Zr 0.102 0.102 0.102
Zr 0.898 0.898 0.898
Mo 0.500 0.500 0.500

Results
Energy above the most stable polymorph in this dataset, meV per atom: 250
Density, kg/m³: 7095
Volume, Å³/cell: 98.1
Symmetry: R-3m
Total magnetic moment, μB/f.u.: 0.0
ΔE_f, eV per atom: 0.34